A plane-wave DFT calculation with PBE was carried out for PmGaFePt3 after structural relaxation.

Geometry as POSCAR:
```
PmGaFePt3
1.0
5.632 0.000 0.000
0.000 6.764 0.000
0.000 -3.382 6.016
Pt Ga Pm Fe
6 2 2 2
Direct
0.500 0.291 0.000
0.750 0.837 0.675
0.000 0.291 0.000
0.000 0.709 0.000
0.500 0.709 0.000
0.250 0.163 0.325
0.250 0.365 0.729
0.750 0.635 0.271
0.750 0.294 0.588
0.250 0.706 0.412
0.750 0.050 0.100
0.250 0.950 0.900
```

Fermi-level density of states = 4.02 states/eV/f.u.
DFT formation energy = -0.488 eV/atom
Total DFT energy (no corrections) = -0.2284 hartree per atom
M_tot = 3.08 μB per formula unit
Theoretical density = 12.4 g/cm³
Symmetry = Cmcm (63)